This record from the Alexandria database describes crystalline Na2LaAgI6 at its relaxed geometry. The functional is PBE.

Summary:
- V: 401.1 Å³/f.u.
- Uncorrected formation energy: -1.12 eV/atom
- ρ: 4.364 g cm⁻³
- D(E_F): 0.0 states/eV per cell

abc: 7.9969 8.0029 8.5743
angles: 90.11 117.70 119.92
Last column: nearest neighbours and their distance in Å.
Fractional positions:
Na  0.0000  0.0000  0.0000  6 I 3.19-3.33
Na  0.0096  0.5046  0.5143  6 I 3.23-3.27
La  0.3850  0.1921  0.5772  6 I 3.16-3.21
Ag  0.4038  0.7013  0.1042  6 I 3.01-3.25
I  0.2188  0.7947  0.3015  1 Ag 3.01, 1 La 3.21, 2 Na 3.24-3.33
I  0.2285  0.9207  0.8128  1 La 3.17, 2 Na 3.19-3.27, 1 Ag 3.24
I  0.5054  0.5845  0.8133  1 La 3.17, 2 Na 3.20-3.27, 1 Ag 3.22
I  0.5070  0.4231  0.3019  1 Ag 3.01, 1 La 3.21, 2 Na 3.24-3.33
I  0.8790  0.0833  0.3022  1 Ag 3.01, 1 La 3.21, 2 Na 3.23-3.33
I  0.8916  0.3070  0.8126  1 La 3.16, 2 Na 3.20-3.27, 1 Ag 3.25